Computed, not measured: a relaxed BeVCoO crystal at the PBE+U level of DFT.

Output
N(E_F): 1.290 states/eV/cell
space-group type: Cm (8)
excess energy over the best structure of this formula in the dataset: 0.1370 eV per atom
crystal system: monoclinic

Unit cell a=2.6214 b=2.6214 c=6.6633 alpha=99.81 beta=99.81 gamma=61.36
With the nearest neighbours (Å) after each atom.
Fractional coordinates of all 4 atoms:
1 Be 0.0000 0.0000 0.0000  3 O 1.76-1.80
2 V 0.8847 0.8847 0.6175  3 O 2.17-2.19
3 Co 0.4253 0.4253 0.2901  3 Be 2.43-2.44, 3 V 2.60-2.69, 6 Co 2.62-2.67
4 O 0.2894 0.2894 0.8571  3 Be 1.76-1.80